# CePrBiN2 | Alexandria via LeMat-Bulk | PBE-GGA | optimized geometry
# E: -7.285 eV per atom
# D(E_F): 0.9069 states/eV per atom
# raw formation energy: -1036.0 meV/atom
data_CePrBiN2
_chemical_formula_sum 'Ce2 Pr2 Bi2 N4'
_cell_length_a 7.966
_cell_length_b 7.966
_cell_length_c 5.694
_cell_angle_alpha 90.00
_cell_angle_beta 90.00
_cell_angle_gamma 138.11
_space_group_name_H-M_alt 'P 1'
_space_group_IT_number 1
_space_group_name_Hall 'P 1'
loop_
_atom_site_label
_atom_site_type_symbol
_atom_site_fract_x
_atom_site_fract_y
_atom_site_fract_z
Ce1 Ce 0.070 0.930 0.750
Ce2 Ce 0.930 0.070 0.250
Pr1 Pr 0.420 0.580 0.750
Pr2 Pr 0.580 0.420 0.250
Bi1 Bi 0.251 0.749 0.250
Bi2 Bi 0.749 0.251 0.750
N1 N 0.238 0.238 0.000
N2 N 0.238 0.238 0.500
N3 N 0.762 0.762 0.000
N4 N 0.762 0.762 0.500

# Ce2PuBi2N2 | Alexandria via LeMat-Bulk | PBE-GGA | optimized geometry
# E: -8.105 eV per atom
# D(E_F): 1.8017 states/eV per atom
# raw formation energy: -874.8 meV/atom
data_Ce2PuBi2N2
_chemical_formula_sum 'Ce4 Pu2 Bi4 N4'
_cell_length_a 4.403
_cell_length_b 4.403
_cell_length_c 16.272
_cell_angle_alpha 90.00
_cell_angle_beta 90.00
_cell_angle_gamma 90.00
_space_group_name_H-M_alt 'P 1'
_space_group_IT_number 1
_space_group_name_Hall 'P 1'
loop_
_atom_site_label
_atom_site_type_symbol
_atom_site_fract_x
_atom_site_fract_y
_atom_site_fract_z
Ce1 Ce 0.000 0.000 0.100
Ce2 Ce 0.000 0.000 0.900
Ce3 Ce 0.500 0.500 0.400
Ce4 Ce 0.500 0.500 0.600
Pu1 Pu 0.000 0.000 0.500
Pu2 Pu 0.500 0.500 0.000
Bi1 Bi 0.000 0.000 0.304
Bi2 Bi 0.000 0.000 0.696
Bi3 Bi 0.500 0.500 0.196
Bi4 Bi 0.500 0.500 0.804
N1 N 0.000 0.500 0.000
N2 N 0.000 0.500 0.500
N3 N 0.500 0.000 0.000
N4 N 0.500 0.000 0.500

# Ce2Pu2Bi2N | Alexandria via LeMat-Bulk | PBE-GGA | optimized geometry
# E: -8.884 eV per atom
# D(E_F): 2.9284 states/eV per atom
# raw formation energy: -795.2 meV/atom
data_Ce2Pu2Bi2N
_chemical_formula_sum 'Ce4 Pu4 Bi4 N2'
_cell_length_a 4.782
_cell_length_b 4.782
_cell_length_c 16.759
_cell_angle_alpha 90.00
_cell_angle_beta 90.00
_cell_angle_gamma 90.00
_space_group_name_H-M_alt 'P 1'
_space_group_IT_number 1
_space_group_name_Hall 'P 1'
loop_
_atom_site_label
_atom_site_type_symbol
_atom_site_fract_x
_atom_site_fract_y
_atom_site_fract_z
Ce1 Ce 0.000 0.000 0.157
Ce2 Ce 0.000 0.000 0.843
Ce3 Ce 0.500 0.500 0.343
Ce4 Ce 0.500 0.500 0.657
Pu1 Pu 0.000 0.500 0.000
Pu2 Pu 0.000 0.500 0.500
Pu3 Pu 0.500 0.000 0.000
Pu4 Pu 0.500 0.000 0.500
Bi1 Bi 0.000 0.000 0.356
Bi2 Bi 0.000 0.000 0.644
Bi3 Bi 0.500 0.500 0.144
Bi4 Bi 0.500 0.500 0.856
N1 N 0.000 0.000 0.000
N2 N 0.500 0.500 0.500

# CeBiS2N | Alexandria via LeMat-Bulk | PBE-GGA | optimized geometry
# E: -6.292 eV per atom
# raw formation energy: -1013.4 meV/atom
data_CeBiS2N
_chemical_formula_sum 'Ce2 Bi2 S4 N2'
_cell_length_a 3.970
_cell_length_b 3.970
_cell_length_c 14.213
_cell_angle_alpha 90.00
_cell_angle_beta 90.00
_cell_angle_gamma 90.00
_space_group_name_H-M_alt 'P 1'
_space_group_IT_number 1
_space_group_name_Hall 'P 1'
loop_
_atom_site_label
_atom_site_type_symbol
_atom_site_fract_x
_atom_site_fract_y
_atom_site_fract_z
Ce1 Ce 0.250 0.250 0.081
Ce2 Ce 0.750 0.750 0.919
Bi1 Bi 0.250 0.250 0.636
Bi2 Bi 0.750 0.750 0.364
S1 S 0.250 0.250 0.395
S2 S 0.250 0.250 0.814
S3 S 0.750 0.750 0.186
S4 S 0.750 0.750 0.605
N1 N 0.250 0.750 0.000
N2 N 0.750 0.250 0.000

# Ce4Bi2SeN2 | Alexandria via LeMat-Bulk | PBE-GGA | optimized geometry
# E: -7.044 eV per atom
# D(E_F): 1.8301 states/eV per atom
# raw formation energy: -1307.3 meV/atom
data_Ce4Bi2SeN2
_chemical_formula_sum 'Ce4 Bi2 Se1 N2'
_cell_length_a 8.079
_cell_length_b 8.079
_cell_length_c 7.676
_cell_angle_alpha 111.15
_cell_angle_beta 111.15
_cell_angle_gamma 29.20
_space_group_name_H-M_alt 'P 1'
_space_group_IT_number 1
_space_group_name_Hall 'P 1'
loop_
_atom_site_label
_atom_site_type_symbol
_atom_site_fract_x
_atom_site_fract_y
_atom_site_fract_z
Ce1 Ce 0.035 0.035 0.259
Ce2 Ce 0.288 0.288 0.348
Ce3 Ce 0.712 0.712 0.652
Ce4 Ce 0.965 0.965 0.741
Bi1 Bi 0.365 0.365 0.967
Bi2 Bi 0.635 0.635 0.033
Se1 Se 0.500 0.500 0.500
N1 N 0.176 0.176 0.479
N2 N 0.824 0.824 0.521

# CeBiSe2N | Alexandria via LeMat-Bulk | PBE-GGA | optimized geometry
# E: -6.020 eV per atom
# D(E_F): 0.0015 states/eV per atom
# raw formation energy: -998.3 meV/atom
data_CeBiSe2N
_chemical_formula_sum 'Ce2 Bi2 Se4 N2'
_cell_length_a 4.060
_cell_length_b 4.060
_cell_length_c 14.985
_cell_angle_alpha 90.00
_cell_angle_beta 90.00
_cell_angle_gamma 90.00
_space_group_name_H-M_alt 'P 1'
_space_group_IT_number 1
_space_group_name_Hall 'P 1'
loop_
_atom_site_label
_atom_site_type_symbol
_atom_site_fract_x
_atom_site_fract_y
_atom_site_fract_z
Ce1 Ce 0.250 0.250 0.074
Ce2 Ce 0.750 0.750 0.926
Bi1 Bi 0.250 0.250 0.640
Bi2 Bi 0.750 0.750 0.360
Se1 Se 0.250 0.250 0.402
Se2 Se 0.250 0.250 0.819
Se3 Se 0.750 0.750 0.181
Se4 Se 0.750 0.750 0.598
N1 N 0.250 0.750 0.000
N2 N 0.750 0.250 0.000